Crystalline MgInSbOs at its relaxed geometry. Source: OQMD via LeMat-Bulk, functional PBE-GGA.

Unit cell a=6.7294 b=6.7294 c=6.7294 alpha=90.00 beta=90.00 gamma=90.00
Closest atoms and distances in Å follow each position.
Space group F-43m (No. 216)
Unique sites:
Mg: 0.0000 0.0000 0.0000  4 In 2.91, 4 Sb 2.91
In: 0.2500 0.2500 0.7500  4 Os 2.91, 4 Mg 2.91
Sb: 0.2500 0.2500 0.2500  4 Os 2.91, 4 Mg 2.91
Os: 0.0000 0.0000 0.5000  4 Sb 2.91, 4 In 2.91

Properties
Total magnetization (μB per formula unit): 0.00
Relative energy among the computed polymorphs (kJ/mol of formula units): 0.0

---

Crystalline HoTlCdS3 at its relaxed geometry. Source: OQMD via LeMat-Bulk, functional PBE-GGA.

Unit cell a=12.0663 b=4.0797 c=12.2803 alpha=90.00 beta=90.00 gamma=90.00
Closest atoms and distances in Å follow each position.
Space group Pnma (No. 62)
Unique sites:
Ho: 0.0332 0.2500 0.1589  6 S 2.72-2.83
Tl: 0.1460 0.2500 0.5165  3 S 3.03-3.05
Cd: 0.2488 0.7500 0.3040  4 S 2.52-2.58
S: 0.0364 0.7500 0.3135  1 Cd 2.56, 2 Ho 2.79
S: 0.0915 0.2500 0.9356  1 Cd 2.52, 2 Ho 2.79
S: 0.2422 0.7500 0.6753  2 Cd 2.58, 1 Ho 2.72

Properties
Total magnetization (μB per formula unit): 0.00
Relative energy among the computed polymorphs (kJ/mol of formula units): 13.6

---

Crystalline HoEr2In3 at its relaxed geometry. Source: OQMD via LeMat-Bulk, functional PBE-GGA.

Unit cell a=3.4910 b=3.4910 c=12.7222 alpha=90.00 beta=90.00 gamma=90.00
Closest atoms and distances in Å follow each position.
Space group P4/mmm (No. 123)
Unique sites:
Ho: 0.0000 0.0000 0.0000  8 In 3.26, 4 Ho 3.49
Er: 0.0000 0.0000 0.3338  8 In 3.25, 4 Er 3.49
In: 0.5000 0.5000 0.1675  4 Er 3.25, 4 Ho 3.26, 4 In 3.49
In: 0.5000 0.5000 0.5000  8 Er 3.25, 4 In 3.49

Properties
Total magnetization (μB per formula unit): 0.02
Final energy (eV/atom): -4.101

---

Crystalline PrCoB4 at its relaxed geometry. Source: OQMD via LeMat-Bulk, functional PBE-GGA.

Unit cell a=3.1943 b=3.1943 c=6.8126 alpha=90.00 beta=90.00 gamma=120.00
Closest atoms and distances in Å follow each position.
Space group P6/mmm (No. 191)
Unique sites:
Pr: 0.0000 0.0000 0.0000  12 B 2.82
Co: 0.0000 0.0000 0.5000  12 B 2.24
B: 0.3333 0.6667 0.3139  3 B 1.84

Properties
Total magnetization (μB per formula unit): 0.00
Relative energy among the computed polymorphs (kJ/mol of formula units): 0.0

---

Crystalline Sc2TaFe2 at its relaxed geometry. Source: OQMD via LeMat-Bulk, functional PBE-GGA.

Unit cell a=3.9035 b=3.9035 c=10.9148 alpha=90.00 beta=90.00 gamma=90.00
Closest atoms and distances in Å follow each position.
Space group I4/mmm (No. 139)
Unique sites:
Sc: 0.0000 0.5000 0.2500  4 Fe 2.61, 4 Sc 2.76
Ta: 0.0000 0.0000 0.0000  8 Fe 2.93
Fe: 0.0000 0.0000 0.4091  1 Fe 1.98

Properties
Total magnetization (μB per formula unit): 1.03
Formation enthalpy at 0 K (meV per atom): 436

---

Crystalline Zr2Se3S at its relaxed geometry. Source: OQMD via LeMat-Bulk, functional PBE-GGA.

Unit cell a=3.7744 b=6.5360 c=13.3668 alpha=90.00 beta=90.00 gamma=90.00
Closest atoms and distances in Å follow each position.
Space group Pmn2_1 (No. 31)
Unique sites:
Zr: 0.0000 0.0268 0.0000  2 S 2.57, 4 Se 2.70-2.73
Zr: 0.0000 0.4692 0.4957  1 S 2.59, 5 Se 2.70-2.72
Se: 0.0000 0.3638 0.1168  3 Zr 2.70-2.72
Se: 0.0000 0.6960 0.8758  3 Zr 2.70-2.73
Se: 0.0000 0.8048 0.3774  3 Zr 2.70-2.73
S: 0.0000 0.1389 0.6025  3 Zr 2.57-2.59

Properties
Total magnetization (μB per formula unit): 0.00
Relative energy among the computed polymorphs (kJ/mol of formula units): 0.0

---

Crystalline PrNdPt2 at its relaxed geometry. Source: OQMD via LeMat-Bulk, functional PBE-GGA.

Unit cell a=4.6291 b=5.7257 c=7.3640 alpha=90.00 beta=90.00 gamma=90.00
Closest atoms and distances in Å follow each position.
Space group Pmc2_1 (No. 26)
Unique sites:
Pr: 0.0000 0.1101 0.0000  7 Pt 2.97-3.15
Nd: 0.5000 0.3900 0.3648  7 Pt 2.97-3.15
Pt: 0.0000 0.4026 0.6372  3 Pr 2.97-3.15, 2 Pt 2.98, 4 Nd 3.06-3.09
Pt: 0.5000 0.0975 0.7275  3 Nd 2.97-3.15, 2 Pt 2.98, 4 Pr 3.06-3.09

Properties
Total magnetization (μB per formula unit): 0.01
Formation enthalpy at 0 K (meV per atom): -1133
Relative energy among the computed polymorphs (kJ/mol of formula units): 0.0

---

Crystalline Cd2AgPd at its relaxed geometry. Source: OQMD via LeMat-Bulk, functional PBE-GGA.

Unit cell a=6.6167 b=6.6167 c=6.6167 alpha=90.00 beta=90.00 gamma=90.00
Closest atoms and distances in Å follow each position.
Space group F-43m (No. 216)
Unique sites:
Cd: 0.0000 0.0000 0.0000  4 Cd 2.87, 4 Ag 2.87
Cd: 0.2500 0.2500 0.2500  4 Cd 2.87, 4 Pd 2.87
Ag: 0.2500 0.2500 0.7500  4 Cd 2.87, 4 Pd 2.87
Pd: 0.0000 0.0000 0.5000  4 Cd 2.87, 4 Ag 2.87

Properties
Formation enthalpy at 0 K (meV per atom): -172